[1]
Below is a relaxed Sr2NdTl3 crystal, with properties calculated at the GGA-PBE level.

DFT total energy in eV for the cell shown: -17.66
Crystal system: tetragonal
SG: No. 123

abc: 4.0078 4.0078 12.2490
angles: 90.00 90.00 90.00
Element x y z (fractional)
Sr  0.0000  0.0000  0.1703
Sr  0.0000  0.0000  0.8297
Nd  0.0000  0.0000  0.5000
Tl  0.5000  0.5000  0.0000
Tl  0.5000  0.5000  0.3463
Tl  0.5000  0.5000  0.6537

[2]
Below is a relaxed ErCu3S3 crystal, with properties calculated at the GGA-PBE level.

DFT total energy in eV for the cell shown: -70.43
Crystal system: trigonal
SG: No. 148
Energy above the most stable polymorph in this dataset in eV/f.u.: 0.000

abc: 7.4110 7.4110 7.4110
angles: 53.56 53.56 53.56
Element x y z (fractional)
Er  0.1664  0.1664  0.1664
Er  0.8336  0.8336  0.8336
Cu  0.0364  0.3770  0.7172
Cu  0.2828  0.9636  0.6230
Cu  0.3770  0.7172  0.0364
Cu  0.6230  0.2828  0.9636
Cu  0.7172  0.0364  0.3770
Cu  0.9636  0.6230  0.2828
S  0.0841  0.7493  0.4182
S  0.2507  0.5818  0.9159
S  0.4182  0.0841  0.7493
S  0.5818  0.9159  0.2507
S  0.7493  0.4182  0.0841
S  0.9159  0.2507  0.5818

[3]
Below is a relaxed ErZr2Tc9 crystal, with properties calculated at the GGA-PBE level.

DFT total energy in eV for the cell shown: -116.67
Crystal system: trigonal
SG: No. 166

abc: 9.2144 9.2144 9.2144
angles: 33.11 33.11 33.11
Element x y z (fractional)
Er  0.0000  0.0000  0.0000
Zr  0.1428  0.1428  0.1428
Zr  0.8572  0.8572  0.8572
Tc  0.0762  0.5897  0.5897
Tc  0.3359  0.3359  0.3359
Tc  0.4103  0.4103  0.9238
Tc  0.4103  0.9238  0.4103
Tc  0.5000  0.5000  0.5000
Tc  0.5897  0.0762  0.5897
Tc  0.5897  0.5897  0.0762
Tc  0.6641  0.6641  0.6641
Tc  0.9238  0.4103  0.4103

[4]
Below is a relaxed Tc3Ru crystal, with properties calculated at the GGA-PBE level.

DFT total energy in eV for the cell shown: -40.49
Crystal system: hexagonal
SG: No. 187
Energy above the most stable polymorph in this dataset in eV/f.u.: 0.060

abc: 2.7571 2.7571 8.7341
angles: 90.00 90.00 120.00
Element x y z (fractional)
Tc  0.0000  0.0000  0.0000
Tc  0.3333  0.6667  0.2520
Tc  0.3333  0.6667  0.7480
Ru  0.0000  0.0000  0.5000

[5]
Below is a relaxed CaInBr2 crystal, with properties calculated at the GGA-PBE level.

DFT total energy in eV for the cell shown: -10.62
Crystal system: cubic
SG: No. 216
Energy above the most stable polymorph in this dataset in eV/f.u.: 2.575

abc: 5.5416 5.5416 5.5416
angles: 60.00 60.00 60.00
Element x y z (fractional)
Ca  0.0000  0.0000  0.0000
In  0.7500  0.7500  0.7500
Br  0.2500  0.2500  0.2500
Br  0.5000  0.5000  0.5000

[6]
Below is a relaxed GdYZnCd crystal, with properties calculated at the GGA-PBE level.

DFT total energy in eV for the cell shown: -24.07
Crystal system: cubic
SG: No. 216

abc: 5.2138 5.2138 5.2138
angles: 60.00 60.00 60.00
Element x y z (fractional)
Gd  0.0000  0.0000  0.0000
Y  0.5000  0.5000  0.5000
Zn  0.2500  0.2500  0.2500
Cd  0.7500  0.7500  0.7500

[7]
Below is a relaxed HfTa2Cl crystal, with properties calculated at the GGA-PBE level.

DFT total energy in eV for the cell shown: -66.44
Crystal system: tetragonal
SG: No. 122
Energy above the most stable polymorph in this dataset in eV/f.u.: 0.000

abc: 10.8460 10.8460 10.8460
angles: 159.37 159.37 29.34
Element x y z (fractional)
Hf  0.0000  0.0000  0.0000
Hf  0.7500  0.2500  0.5000
Ta  0.1183  0.6250  0.9933
Ta  0.3750  0.3683  0.4933
Ta  0.6317  0.1250  0.0067
Ta  0.8750  0.8817  0.5067
Cl  0.2500  0.7500  0.5000
Cl  0.5000  0.5000  0.0000

[8]
Below is a relaxed ZrMoAu2 crystal, with properties calculated at the GGA-PBE level.

DFT total energy in eV for the cell shown: -26.28
Crystal system: monoclinic
SG: No. 10
Energy above the most stable polymorph in this dataset in eV/f.u.: 0.189

abc: 2.9196 4.2023 5.8872
angles: 90.00 90.18 90.00
Element x y z (fractional)
Zr  0.0000  0.0000  0.0000
Mo  0.0000  0.0000  0.5000
Au  0.4992  0.5000  0.2616
Au  0.5008  0.5000  0.7384

[9]
Below is a relaxed HfCrPd2 crystal, with properties calculated at the GGA-PBE level.

DFT total energy in eV for the cell shown: -59.16
Crystal system: tetragonal
SG: No. 122
Energy above the most stable polymorph in this dataset in eV/f.u.: 1.818

abc: 9.4830 9.4830 9.4830
angles: 155.87 155.87 34.38
Element x y z (fractional)
Hf  0.0000  0.0000  0.0000
Hf  0.7500  0.2500  0.5000
Cr  0.2500  0.7500  0.5000
Cr  0.5000  0.5000  0.0000
Pd  0.1348  0.6250  0.0098
Pd  0.3750  0.3848  0.5098
Pd  0.6152  0.1250  0.9902
Pd  0.8750  0.8652  0.4902

[10]
Below is a relaxed CuGeIr2 crystal, with properties calculated at the GGA-PBE level.

DFT total energy in eV for the cell shown: -50.09
Crystal system: tetragonal
SG: No. 122

abc: 9.0740 9.0740 9.0740
angles: 155.77 155.77 34.54
Element x y z (fractional)
Cu  0.0000  0.0000  0.0000
Cu  0.7500  0.2500  0.5000
Ge  0.2500  0.7500  0.5000
Ge  0.5000  0.5000  0.0000
Ir  0.1064  0.6250  0.9814
Ir  0.3750  0.3564  0.4814
Ir  0.6436  0.1250  0.0186
Ir  0.8750  0.8936  0.5186

Which of these has the lowest DFT total energy? ErZr2Tc9

What is the DFT total energy in the sixth record? -24.07 eV for the cell shown